Entry 1:
Material: Pm3Sm3TlIn2
Method: DFT, PBE-GGA
State: optimized geometry

Values from the calculation:
Raw total energy: -4.337 eV per atom
Formation energy from the elements: -0.309 eV/atom

Cell lengths 3.811, 9.147, 9.147 Å; angles 120.00, 90.00, 90.00 degrees
Fractional coordinates of all 9 atoms:
Sm 0.500 0.287 0.287
In 0.500 0.333 0.667
Tl 0.000 0.000 0.000
Pm 0.000 0.386 0.000
In 0.500 0.667 0.333
Pm 0.000 0.614 0.614
Pm 0.000 0.000 0.386
Sm 0.500 0.000 0.713
Sm 0.500 0.713 0.000



Entry 2:
Material: InHC2I
Method: DFT, PBE-GGA
State: optimized geometry

Values from the calculation:
Raw total energy: -2.636 eV per atom

Cell lengths 4.523, 4.523, 3.869 Å; angles 90.00, 90.00, 90.00 degrees
Fractional coordinates of all 5 atoms:
C 0.000 0.500 0.000
C 0.500 0.000 0.000
I 0.000 0.000 0.500
H 0.000 0.000 0.000
In 0.500 0.500 0.500



Entry 3:
Material: Mn2GaNi2
Method: DFT, PBE-GGA
State: optimized geometry

Values from the calculation:
Raw total energy: -6.605 eV per atom
Formation energy from the elements: -0.020 eV/atom

Cell lengths 6.712, 6.712, 2.904 Å; angles 90.00, 90.00, 90.00 degrees
Last column: magnetic moment on the atom in μB.
Fractional coordinates of all 10 atoms:
Ga 0.000 0.000 0.000  -0.11
Mn 0.664 0.836 0.500  3.24
Ni 0.868 0.632 0.000  0.49
Mn 0.336 0.164 0.500  3.24
Mn 0.836 0.336 0.500  3.24
Ni 0.368 0.868 0.000  0.49
Ni 0.132 0.368 0.000  0.49
Ga 0.500 0.500 0.000  -0.11
Mn 0.164 0.664 0.500  3.24
Ni 0.632 0.132 0.000  0.49



Entry 4:
Material: Cs3YF7
Method: DFT, PBE-GGA
State: optimized geometry

Values from the calculation:
Raw total energy: -5.036 eV per atom
Formation energy from raw total energies: -69.745 kcal/mol of atoms

Cell lengths 7.146, 7.146, 6.871 Å; angles 62.43, 62.43, 92.17 degrees
Last column: magnetic moment on the atom in μB.
Fractional coordinates of all 11 atoms:
Y 0.938 0.938 0.064  -0.01
Cs 0.222 0.756 0.513  0.01
F 0.088 0.285 0.662  0.41
F 0.671 0.671 0.466  0.08
F 0.684 0.112 0.129  0.09
F 0.812 0.812 0.896  0.04
Cs 0.756 0.222 0.513  0.01
F 0.099 0.099 0.176  0.03
F 0.112 0.684 0.129  0.09
F 0.285 0.088 0.662  0.41
Cs 0.459 0.459 0.041  0.00



Entry 5:
Material: Sr2LaPd9
Method: DFT, PBE-GGA
State: optimized geometry

Values from the calculation:
Raw total energy: -5.184 eV per atom
Formation energy from the elements: -0.598 eV/atom

Cell lengths 5.478, 5.478, 18.259 Å; angles 90.00, 90.00, 120.00 degrees
Fractional coordinates of all 24 atoms:
Pd 0.167 0.335 0.375
Pd 0.167 0.833 0.375
Pd 0.000 0.000 0.500
Pd 0.335 0.167 0.875
Pd 0.335 0.167 0.625
Sr 0.333 0.667 0.539
Pd 0.665 0.833 0.375
Pd 0.000 0.000 0.000
Sr 0.667 0.333 0.461
Pd 0.167 0.833 0.125
Pd 0.833 0.665 0.625
Pd 0.833 0.665 0.875
Pd 0.333 0.667 0.250
Pd 0.667 0.333 0.750
Sr 0.333 0.667 0.961
Sr 0.667 0.333 0.039
Pd 0.000 0.000 0.250
La 0.667 0.333 0.250
Pd 0.665 0.833 0.125
La 0.333 0.667 0.750
Pd 0.000 0.000 0.750
Pd 0.167 0.335 0.125
Pd 0.833 0.167 0.875
Pd 0.833 0.167 0.625



Entry 6:
Material: Ca2ThHg3
Method: DFT, PBE-GGA
State: optimized geometry

Values from the calculation:
Raw total energy: -2.497 eV per atom
Formation energy from the elements: -0.442 eV/atom

Cell lengths 3.748, 3.748, 11.743 Å; angles 90.00, 90.00, 90.00 degrees
Fractional coordinates of all 6 atoms:
Hg 0.000 0.000 0.000
Ca 0.500 0.500 0.837
Th 0.500 0.500 0.500
Hg 0.000 0.000 0.671
Ca 0.500 0.500 0.163
Hg 0.000 0.000 0.329



Entry 7:
Material: Sm2ScAg
Method: DFT, PBE-GGA
State: optimized geometry

Values from the calculation:
ΔE to the lowest computed polymorph: 0.0 meV/atom
Raw total energy: -4.746 eV per atom
Formation energy from the elements: -0.091 eV/atom

Cell lengths 3.706, 3.706, 7.984 Å; angles 90.00, 90.00, 90.00 degrees
Fractional coordinates of all 4 atoms:
Sm 0.000 0.000 0.766
Sm 0.000 0.000 0.234
Ag 0.500 0.500 0.000
Sc 0.500 0.500 0.500



Entry 8:
Material: Tl2InMo
Method: DFT, PBE-GGA
State: optimized geometry

Values from the calculation:
ΔE to the lowest computed polymorph: 30.9 meV/atom
Raw total energy: -4.097 eV per atom
Formation energy from the elements: 0.479 eV/atom

Cell lengths 3.109, 3.109, 9.799 Å; angles 90.00, 90.00, 90.00 degrees
Last column: magnetic moment on the atom in μB.
Fractional coordinates of all 4 atoms:
Tl 0.500 0.500 0.259  -0.01
In 0.000 0.000 0.539  0.00
Tl 0.000 0.000 0.962  0.00
Mo 0.500 0.500 0.740  0.35



Entry 9:
Material: BaInAgHg
Method: DFT, PBE-GGA
State: optimized geometry

Values from the calculation:
ΔE to the lowest computed polymorph: 40.5 meV/atom
Raw total energy: -2.231 eV per atom
Formation energy from the elements: -0.277 eV/atom

Cell lengths 5.482, 5.482, 5.482 Å; angles 60.00, 60.00, 60.00 degrees
Fractional coordinates of all 4 atoms:
In 0.500 0.500 0.500
Hg 0.750 0.750 0.750
Ag 0.250 0.250 0.250
Ba 0.000 0.000 0.000



Entry 10:
Material: InHg2Au2
Method: DFT, PBE-GGA
State: optimized geometry

Values from the calculation:
ΔE to the lowest computed polymorph: 36.7 meV/atom
Raw total energy: -1.954 eV per atom
Formation energy from the elements: 0.025 eV/atom

Cell lengths 7.485, 7.485, 4.035 Å; angles 90.00, 90.00, 90.00 degrees
Fractional coordinates of all 10 atoms:
Au 0.863 0.637 0.000
Au 0.363 0.863 0.000
Hg 0.665 0.835 0.500
In 0.000 0.000 0.000
Hg 0.835 0.335 0.500
Hg 0.335 0.165 0.500
In 0.500 0.500 0.000
Hg 0.165 0.665 0.500
Au 0.637 0.137 0.000
Au 0.137 0.363 0.000



no.,spin magnetization (μB per formula unit)
1,0.00
2,0.14
3,7.41
4,1.27
5,0.00
6,0.00
7,0.00
8,0.37
9,0.00
10,0.00